--- one ---
Entry from the Alexandria database: AcPr3Y4 after structural relaxation (GGA-PBE).

Cell lengths 9.169, 9.169, 9.169 Å; angles 157.83, 98.90, 85.37 degrees
Fractional coordinates of all 8 atoms:
Ac1 0.000 0.000 0.000
Pr1 0.243 0.743 0.500
Pr2 0.500 0.500 0.000
Pr3 0.757 0.257 0.500
Y1 0.118 0.864 0.254
Y2 0.390 0.136 0.254
Y3 0.610 0.864 0.746
Y4 0.882 0.136 0.746

Properties
Total moment = 0.00 μB per formula unit
V = 283 Å³/cell

--- two ---
Entry from the Alexandria database: AcPr3Y4 after structural relaxation (GGA-PBE).

Cell lengths 11.838, 7.453, 6.431 Å; angles 90.00, 90.00, 90.00 degrees
Fractional coordinates of all 16 atoms:
Ac1 0.000 0.128 0.000
Ac2 0.500 0.872 0.500
Pr1 0.000 0.869 0.495
Pr2 0.249 0.129 0.660
Pr3 0.251 0.871 0.160
Pr4 0.500 0.131 0.995
Pr5 0.749 0.871 0.160
Pr6 0.751 0.129 0.660
Y1 0.000 0.382 0.495
Y2 0.000 0.622 0.994
Y3 0.248 0.619 0.662
Y4 0.252 0.381 0.162
Y5 0.500 0.378 0.494
Y6 0.500 0.618 0.995
Y7 0.748 0.381 0.162
Y8 0.752 0.619 0.662

Properties
Total moment = 0.00 μB per formula unit
V = 567 Å³/cell

Tell me which of them is the least stable. Sure, it is one.

--- one ---
Entry from the Alexandria database: Ac2Pr3Y4 after structural relaxation (GGA-PBE).

Cell lengths 3.733, 3.733, 27.426 Å; angles 90.00, 90.00, 120.00 degrees
Fractional coordinates of all 9 atoms:
Ac1 0.000 0.000 0.000
Ac2 0.000 0.000 0.233
Pr1 0.000 0.000 0.782
Pr2 0.333 0.667 0.119
Pr3 0.333 0.667 0.466
Y1 0.000 0.000 0.362
Y2 0.000 0.000 0.574
Y3 0.333 0.667 0.676
Y4 0.333 0.667 0.889

Properties
Total moment = 0.07 μB per formula unit
V = 331 Å³/cell

--- two ---
Entry from the Alexandria database: Ac2Pr3Y4 after structural relaxation (GGA-PBE).

Cell lengths 8.965, 8.965, 6.576 Å; angles 104.84, 104.84, 39.88 degrees
Fractional coordinates of all 9 atoms:
Ac1 0.167 0.167 0.339
Ac2 0.833 0.833 0.661
Pr1 0.397 0.397 0.430
Pr2 0.500 0.500 0.000
Pr3 0.603 0.603 0.570
Y1 0.059 0.059 0.777
Y2 0.279 0.279 0.912
Y3 0.721 0.721 0.088
Y4 0.941 0.941 0.223

Properties
Total moment = 0.00 μB per formula unit
V = 326 Å³/cell

Tell me which of them is the least stable. Sure, it is two.

--- one ---
Entry from the Alexandria database: Ac2Pr7Y2 after structural relaxation (GGA-PBE).

Cell lengths 8.373, 8.373, 6.411 Å; angles 106.22, 106.22, 91.47 degrees
Fractional coordinates of all 11 atoms:
Ac1 0.098 0.098 0.315
Ac2 0.902 0.902 0.685
Pr1 0.081 0.568 0.318
Pr2 0.274 0.274 0.933
Pr3 0.432 0.919 0.682
Pr4 0.500 0.500 0.500
Pr5 0.568 0.081 0.318
Pr6 0.726 0.726 0.067
Pr7 0.919 0.432 0.682
Y1 0.288 0.712 0.000
Y2 0.712 0.288 0.000

Properties
Total moment = 0.00 μB per formula unit
V = 412 Å³/cell

--- two ---
Entry from the Alexandria database: Ac2Pr7Y2 after structural relaxation (GGA-PBE).

Cell lengths 6.884, 6.884, 9.616 Å; angles 103.94, 103.94, 91.00 degrees
Fractional coordinates of all 11 atoms:
Ac1 0.129 0.129 0.403
Ac2 0.871 0.871 0.597
Pr1 0.173 0.567 0.234
Pr2 0.324 0.324 0.869
Pr3 0.433 0.827 0.766
Pr4 0.500 0.500 0.500
Pr5 0.567 0.173 0.234
Pr6 0.676 0.676 0.131
Pr7 0.827 0.433 0.766
Y1 0.160 0.840 0.000
Y2 0.840 0.160 0.000

Properties
Total moment = 0.00 μB per formula unit
V = 428 Å³/cell

Tell me which of them is the least stable. Sure, it is two.

--- one ---
Entry from the Alexandria database: AcPrY6 after structural relaxation (GGA-PBE).

Cell lengths 6.588, 6.591, 6.594 Å; angles 96.48, 96.54, 96.44 degrees
Fractional coordinates of all 8 atoms:
Ac1 0.000 0.000 0.000
Pr1 0.500 0.500 0.500
Y1 0.042 0.458 0.747
Y2 0.253 0.958 0.543
Y3 0.458 0.747 0.042
Y4 0.542 0.253 0.958
Y5 0.747 0.042 0.457
Y6 0.958 0.542 0.253

Properties
Total moment = 0.00 μB per formula unit
V = 280 Å³/cell

--- two ---
Entry from the Alexandria database: AcPrY6 after structural relaxation (GGA-PBE).

Cell lengths 6.035, 6.035, 9.022 Å; angles 100.41, 100.41, 71.40 degrees
Fractional coordinates of all 8 atoms:
Ac1 0.000 0.000 0.000
Pr1 0.500 0.500 0.500
Y1 0.045 0.525 0.701
Y2 0.377 0.377 0.081
Y3 0.475 0.955 0.299
Y4 0.525 0.045 0.701
Y5 0.623 0.623 0.919
Y6 0.955 0.475 0.299

Properties
Total moment = 0.00 μB per formula unit
V = 304 Å³/cell

Tell me which of them is the least stable. Sure, it is two.

--- one ---
Entry from the Alexandria database: AcPr5Y2 after structural relaxation (GGA-PBE).

Cell lengths 9.679, 9.679, 7.194 Å; angles 90.09, 90.09, 61.46 degrees
Fractional coordinates of all 16 atoms:
Ac1 0.000 0.500 0.000
Ac2 0.500 0.000 0.500
Pr1 0.000 0.000 0.250
Pr2 0.000 0.000 0.750
Pr3 0.039 0.303 0.500
Pr4 0.303 0.039 0.000
Pr5 0.353 0.354 0.749
Pr6 0.354 0.353 0.249
Pr7 0.646 0.647 0.751
Pr8 0.647 0.646 0.251
Pr9 0.697 0.961 0.000
Pr10 0.961 0.697 0.500
Y1 0.298 0.676 0.000
Y2 0.324 0.702 0.500
Y3 0.676 0.298 0.500
Y4 0.702 0.324 0.000

Properties
Total moment = 0.00 μB per formula unit
V = 592 Å³/cell

--- two ---
Entry from the Alexandria database: AcPr5Y2 after structural relaxation (GGA-PBE).

Cell lengths 7.425, 14.851, 5.235 Å; angles 90.00, 90.00, 90.00 degrees
Fractional coordinates of all 16 atoms:
Ac1 0.000 0.000 0.000
Ac2 0.500 0.500 0.000
Pr1 0.000 0.252 0.000
Pr2 0.000 0.500 0.000
Pr3 0.000 0.748 0.000
Pr4 0.248 0.373 0.500
Pr5 0.252 0.873 0.500
Pr6 0.500 0.000 0.000
Pr7 0.500 0.248 0.000
Pr8 0.500 0.752 0.000
Pr9 0.748 0.127 0.500
Pr10 0.752 0.627 0.500
Y1 0.248 0.627 0.500
Y2 0.252 0.127 0.500
Y3 0.748 0.873 0.500
Y4 0.752 0.373 0.500

Properties
Total moment = 0.00 μB per formula unit
V = 577 Å³/cell

Tell me which of them is the least stable. Sure, it is one.

--- one ---
Entry from the Alexandria database: AcPr2Y8 after structural relaxation (GGA-PBE).

Cell lengths 9.626, 9.626, 9.626 Å; angles 146.28, 128.82, 62.70 degrees
Fractional coordinates of all 11 atoms:
Ac1 0.000 0.000 0.000
Pr1 0.301 0.301 0.000
Pr2 0.699 0.699 0.000
Y1 0.150 0.856 0.294
Y2 0.161 0.661 0.500
Y3 0.296 0.500 0.796
Y4 0.439 0.144 0.294
Y5 0.561 0.856 0.706
Y6 0.704 0.500 0.204
Y7 0.839 0.339 0.500
Y8 0.850 0.144 0.706

Properties
Total moment = 0.00 μB per formula unit
V = 382 Å³/cell

--- two ---
Entry from the Alexandria database: AcPr2Y8 after structural relaxation (GGA-PBE).

Cell lengths 10.373, 10.373, 5.600 Å; angles 92.87, 92.87, 40.60 degrees
Fractional coordinates of all 11 atoms:
Ac1 0.000 0.000 0.000
Pr1 0.286 0.286 0.753
Pr2 0.714 0.714 0.247
Y1 0.135 0.598 0.271
Y2 0.189 0.189 0.234
Y3 0.402 0.865 0.729
Y4 0.454 0.454 0.760
Y5 0.546 0.546 0.240
Y6 0.598 0.135 0.271
Y7 0.811 0.811 0.766
Y8 0.865 0.402 0.729

Properties
Total moment = 0.00 μB per formula unit
V = 392 Å³/cell

Tell me which of them is the least stable. Sure, it is two.

--- one ---
Entry from the Alexandria database: AcPr8Y2 after structural relaxation (GGA-PBE).

Cell lengths 9.687, 9.687, 9.687 Å; angles 145.59, 127.05, 64.68 degrees
Fractional coordinates of all 11 atoms:
Ac1 0.000 0.000 0.000
Pr1 0.155 0.856 0.299
Pr2 0.161 0.661 0.500
Pr3 0.297 0.500 0.797
Pr4 0.442 0.144 0.299
Pr5 0.558 0.856 0.701
Pr6 0.703 0.500 0.203
Pr7 0.839 0.339 0.500
Pr8 0.845 0.144 0.701
Y1 0.299 0.299 0.000
Y2 0.701 0.701 0.000

Properties
Total moment = 0.00 μB per formula unit
V = 405 Å³/cell

--- two ---
Entry from the Alexandria database: AcPr8Y2 after structural relaxation (GGA-PBE).

Cell lengths 9.785, 9.785, 6.148 Å; angles 106.21, 106.21, 122.50 degrees
Fractional coordinates of all 11 atoms:
Ac1 0.000 0.000 0.000
Pr1 0.098 0.343 0.691
Pr2 0.208 0.792 0.000
Pr3 0.343 0.098 0.691
Pr4 0.432 0.432 0.206
Pr5 0.568 0.568 0.794
Pr6 0.657 0.902 0.309
Pr7 0.792 0.208 0.000
Pr8 0.902 0.657 0.309
Y1 0.312 0.688 0.500
Y2 0.688 0.312 0.500

Properties
Total moment = 0.00 μB per formula unit
V = 404 Å³/cell

Tell me which of them is the least stable. Sure, it is two.

--- one ---
Entry from the Alexandria database: Ac2Pr4Y after structural relaxation (GGA-PBE).

Cell lengths 21.353, 21.353, 21.353 Å; angles 10.24, 10.24, 10.24 degrees
Fractional coordinates of all 7 atoms:
Ac1 0.094 0.094 0.094
Ac2 0.906 0.906 0.906
Pr1 0.190 0.190 0.190
Pr2 0.379 0.379 0.379
Pr3 0.621 0.621 0.621
Pr4 0.810 0.810 0.810
Y1 0.000 0.000 0.000

Properties
Total moment = 0.00 μB per formula unit
V = 267 Å³/cell

--- two ---
Entry from the Alexandria database: Ac2Pr4Y after structural relaxation (GGA-PBE).

Cell lengths 5.911, 5.911, 9.569 Å; angles 112.93, 112.93, 63.32 degrees
Fractional coordinates of all 7 atoms:
Ac1 0.219 0.219 0.141
Ac2 0.781 0.781 0.859
Pr1 0.055 0.055 0.703
Pr2 0.355 0.355 0.579
Pr3 0.645 0.645 0.421
Pr4 0.945 0.945 0.297
Y1 0.500 0.500 0.000

Properties
Total moment = 0.00 μB per formula unit
V = 266 Å³/cell

Tell me which of them is the least stable. Sure, it is two.

--- one ---
Entry from the Alexandria database: AcPrY4 after structural relaxation (GGA-PBE).

Cell lengths 6.360, 6.360, 12.436 Å; angles 104.65, 104.65, 60.00 degrees
Fractional coordinates of all 12 atoms:
Ac1 0.000 0.500 0.000
Ac2 0.500 0.000 0.500
Pr1 0.078 0.922 0.250
Pr2 0.922 0.078 0.750
Y1 0.167 0.663 0.498
Y2 0.251 0.421 0.750
Y3 0.337 0.833 0.002
Y4 0.421 0.251 0.250
Y5 0.579 0.749 0.750
Y6 0.663 0.167 0.998
Y7 0.749 0.579 0.250
Y8 0.833 0.337 0.502

Properties
Total moment = 0.00 μB per formula unit
V = 417 Å³/cell

--- two ---
Entry from the Alexandria database: AcPrY4 after structural relaxation (GGA-PBE).

Cell lengths 6.332, 6.332, 7.354 Å; angles 106.85, 106.85, 48.17 degrees
Fractional coordinates of all 6 atoms:
Ac1 0.000 0.000 0.000
Pr1 0.000 0.000 0.500
Y1 0.329 0.329 0.662
Y2 0.333 0.333 0.170
Y3 0.667 0.667 0.830
Y4 0.671 0.671 0.338

Properties
Total moment = 0.00 μB per formula unit
V = 208 Å³/cell

Tell me which of them is the least stable. Sure, it is two.

--- one ---
Entry from the Alexandria database: Ac6Pr2Y after structural relaxation (GGA-PBE).

Cell lengths 8.591, 8.591, 11.627 Å; angles 131.43, 131.43, 37.59 degrees
Fractional coordinates of all 9 atoms:
Ac1 0.004 0.004 0.332
Ac2 0.328 0.328 0.332
Ac3 0.339 0.339 0.000
Ac4 0.661 0.661 0.000
Ac5 0.672 0.672 0.668
Ac6 0.996 0.996 0.668
Pr1 0.334 0.334 0.669
Pr2 0.666 0.666 0.331
Y1 0.000 0.000 0.000

Properties
Total moment = 0.00 μB per formula unit
V = 374 Å³/cell

--- two ---
Entry from the Alexandria database: Ac6Pr2Y after structural relaxation (GGA-PBE).

Cell lengths 8.657, 8.657, 8.657 Å; angles 54.43, 54.43, 54.43 degrees
Fractional coordinates of all 9 atoms:
Ac1 0.171 0.171 0.657
Ac2 0.171 0.657 0.171
Ac3 0.380 0.380 0.837
Ac4 0.380 0.837 0.380
Ac5 0.657 0.171 0.171
Ac6 0.837 0.380 0.380
Pr1 0.682 0.682 0.682
Pr2 0.848 0.848 0.848
Y1 0.102 0.102 0.102

Properties
Total moment = 0.00 μB per formula unit
V = 399 Å³/cell

Tell me which of them is the least stable. Sure, it is two.

--- one ---
Entry from the Alexandria database: Ac7Pr2Y2 after structural relaxation (GGA-PBE).

Cell lengths 8.716, 8.716, 6.622 Å; angles 105.33, 105.33, 93.45 degrees
Fractional coordinates of all 11 atoms:
Ac1 0.000 0.000 0.000
Ac2 0.072 0.581 0.818
Ac3 0.217 0.217 0.579
Ac4 0.419 0.928 0.182
Ac5 0.581 0.072 0.818
Ac6 0.783 0.783 0.421
Ac7 0.928 0.419 0.182
Pr1 0.419 0.419 0.206
Pr2 0.581 0.581 0.794
Y1 0.230 0.770 0.500
Y2 0.770 0.230 0.500

Properties
Total moment = 0.00 μB per formula unit
V = 463 Å³/cell

--- two ---
Entry from the Alexandria database: Ac7Pr2Y2 after structural relaxation (GGA-PBE).

Cell lengths 7.413, 7.413, 10.160 Å; angles 90.15, 90.15, 58.75 degrees
Fractional coordinates of all 11 atoms:
Ac1 0.000 0.000 0.000
Ac2 0.000 0.499 0.312
Ac3 0.000 0.501 0.688
Ac4 0.499 0.000 0.312
Ac5 0.500 0.500 0.184
Ac6 0.500 0.500 0.816
Ac7 0.501 0.000 0.688
Pr1 0.248 0.752 0.500
Pr2 0.752 0.248 0.500
Y1 0.270 0.270 0.000
Y2 0.730 0.730 0.000

Properties
Total moment = 0.00 μB per formula unit
V = 477 Å³/cell

Tell me which of them is the least stable. Sure, it is two.